Ni2Ag2F7, optimized geometry, DFT PBE+U; symmetry = No. 227; total energy = -0.1418 Ha/atom
1.0
0.0000 5.2248 5.2248
5.2248 0.0000 5.2248
5.2248 5.2248 0.0000
Ni Ag F
4 4 14
direct
0.0000 0.0000 0.0000
0.0000 0.0000 0.5000
0.0000 0.5000 0.0000
0.5000 0.0000 0.0000
0.0000 0.5000 0.5000
0.5000 0.0000 0.5000
0.5000 0.5000 0.0000
0.5000 0.5000 0.5000
0.0778 0.0778 0.6722
0.0778 0.6722 0.0778
0.0778 0.6722 0.6722
0.3278 0.3278 0.9222
0.3278 0.9222 0.3278
0.3278 0.9222 0.9222
0.3750 0.3750 0.3750
0.6250 0.6250 0.6250
0.6722 0.0778 0.0778
0.6722 0.0778 0.6722
0.6722 0.6722 0.0778
0.9222 0.3278 0.3278
0.9222 0.3278 0.9222
0.9222 0.9222 0.3278